Here is crystalline SrZnSe2N at its relaxed geometry from the Alexandria database. Energies are from PBE-GGA.

The structure in CIF format:
```
data_SrZnSe2N
_chemical_formula_sum 'Sr1 Zn1 Se2 N1'
_cell_length_a 5.807
_cell_length_b 5.807
_cell_length_c 4.470
_cell_angle_alpha 90.00
_cell_angle_beta 90.00
_cell_angle_gamma 90.00
_space_group_name_H-M_alt 'P 1'
_space_group_IT_number 1
loop_
_space_group_symop_operation_xyz
'x,y,z'
loop_
_atom_site_label
_atom_site_fract_x
_atom_site_fract_y
_atom_site_fract_z
Sr1 0.000 0.000 0.000
Zn1 0.500 0.500 0.500
Se1 0.000 0.500 0.000
Se2 0.500 0.000 0.000
N1 0.000 0.000 0.500
```

Calculated values
V	150.8	Å³ per cell
SG	P4/mmm (123)
energy above the lowest structure with this stoichiometry	1116	meV/atom
raw total energy	-13.34	eV per cell